{"formula": "BaNa3As", "functional": "PBE", "state": "relaxed", "lattice": [[5.7423, 0.0000, 0.0000], [0.0000, 5.7423, 0.0000], [0.0000, 0.0000, 5.7423]], "species": ["Ba", "Na", "Na", "Na", "As"], "frac_coords": [[0.0000, 0.0000, 0.0000], [0.0000, 0.5000, 0.5000], [0.5000, 0.0000, 0.5000], [0.5000, 0.5000, 0.0000], [0.5000, 0.5000, 0.5000]], "de_polymorph_mev_per_atom": 0, "m_tot_mub_per_cell": 0.00, "sg": "Pm-3m (221)", "dos_ef_per_ev_fu": 2.15, "formation_energy_ev_per_atom": -0.132}